[1]
The following is a DFT calculation (GGA-PBE) of crystalline SmAl3PdPt at its relaxed geometry.

Summary:
- Space-group type: Cmcm, No. 63
- Fermi-level density of states: 2.1 states/eV/f.u.
- DFT formation energy: -0.7019 eV per atom

Unit cell a=5.8630 b=6.4737 c=6.9087 alpha=117.94 beta=90.00 gamma=90.00
Sites, in units of the cell vectors:
Al (0.5000, 0.2990, 0.0000)
Al (0.7500, 0.8468, 0.6936)
Al (0.5000, 0.7010, 0.0000)
Al (0.0000, 0.2990, 0.0000)
Al (0.0000, 0.7010, 0.0000)
Al (0.2500, 0.1532, 0.3064)
Sm (0.2500, 0.7202, 0.4405)
Sm (0.7500, 0.2798, 0.5595)
Pt (0.7500, 0.6404, 0.2807)
Pt (0.2500, 0.3596, 0.7193)
Pd (0.7500, 0.0542, 0.1085)
Pd (0.2500, 0.9458, 0.8915)

[2]
The following is a DFT calculation (GGA-PBE) of crystalline Sm2Al4Pd3Pt at its relaxed geometry.

Summary:
- Space-group type: P-4m2, No. 115
- Fermi-level density of states: 8.1 states/eV/f.u.
- DFT formation energy: -0.9203 eV per atom

Unit cell a=4.3452 b=4.3452 c=10.1182 alpha=90.00 beta=90.00 gamma=90.00
Sites, in units of the cell vectors:
Sm (0.5000, 0.0000, 0.2521)
Sm (0.0000, 0.5000, 0.7479)
Pt (0.5000, 0.5000, 0.5000)
Pd (0.0000, 0.0000, 0.5000)
Pd (0.0000, 0.5000, 0.1302)
Pd (0.5000, 0.0000, 0.8698)
Al (0.0000, 0.0000, 0.0000)
Al (0.5000, 0.5000, 0.0000)
Al (0.5000, 0.0000, 0.6259)
Al (0.0000, 0.5000, 0.3741)

[3]
The following is a DFT calculation (GGA-PBE) of crystalline AlSnPd2Pt at its relaxed geometry.

Summary:
- Space-group type: P4/mmm, No. 123
- Fermi-level density of states: 5.4 states/eV/f.u.
- DFT formation energy: 0.6308 eV per atom

Unit cell a=5.0417 b=5.0417 c=4.9133 alpha=90.00 beta=90.00 gamma=90.00
Sites, in units of the cell vectors:
Al (0.5000, 0.5000, 0.5000)
Pt (0.0000, 0.0000, 0.0000)
Sn (0.0000, 0.0000, 0.5000)
Pd (0.0000, 0.5000, 0.0000)
Pd (0.5000, 0.0000, 0.0000)

[4]
The following is a DFT calculation (GGA-PBE) of crystalline SrAlPdPt at its relaxed geometry.

Summary:
- Space-group type: Cm, No. 8
- Fermi-level density of states: 1.6 states/eV/f.u.
- DFT formation energy: -0.8522 eV per atom

Unit cell a=4.3681 b=4.3561 c=5.9747 alpha=111.31 beta=90.00 gamma=120.09
Sites, in units of the cell vectors:
Al (0.1114, 0.2228, 0.9770)
Pt (0.4155, 0.8310, 0.8894)
Sr (0.6188, 0.2376, 0.4975)
Pd (0.8206, 0.6412, 0.1035)

[5]
The following is a DFT calculation (GGA-PBE) of crystalline Sr2Al4Pd3Pt at its relaxed geometry.

Summary:
- Space-group type: P-4m2, No. 115
- Fermi-level density of states: 4.1 states/eV/f.u.
- DFT formation energy: -0.8132 eV per atom

Unit cell a=4.4482 b=4.4482 c=10.2682 alpha=90.00 beta=90.00 gamma=90.00
Sites, in units of the cell vectors:
Al (0.5000, 0.0000, 0.6185)
Al (0.0000, 0.0000, 0.0000)
Al (0.0000, 0.5000, 0.3815)
Al (0.5000, 0.5000, 0.0000)
Sr (0.0000, 0.5000, 0.7439)
Sr (0.5000, 0.0000, 0.2561)
Pd (0.0000, 0.0000, 0.5000)
Pd (0.5000, 0.0000, 0.8714)
Pd (0.0000, 0.5000, 0.1286)
Pt (0.5000, 0.5000, 0.5000)

[6]
The following is a DFT calculation (GGA-PBE) of crystalline Sr2Al4PdPt3 at its relaxed geometry.

Summary:
- Space-group type: P-4m2, No. 115
- Fermi-level density of states: 3.6 states/eV/f.u.
- DFT formation energy: -0.9680 eV per atom

Unit cell a=4.4480 b=4.4480 c=10.1556 alpha=90.00 beta=90.00 gamma=90.00
Sites, in units of the cell vectors:
Pt (0.0000, 0.5000, 0.1284)
Pt (0.0000, 0.0000, 0.5000)
Pt (0.5000, 0.0000, 0.8716)
Al (0.5000, 0.5000, 0.0000)
Al (0.0000, 0.0000, 0.0000)
Al (0.0000, 0.5000, 0.3797)
Al (0.5000, 0.0000, 0.6203)
Sr (0.0000, 0.5000, 0.7450)
Sr (0.5000, 0.0000, 0.2550)
Pd (0.5000, 0.5000, 0.5000)

[7]
The following is a DFT calculation (GGA-PBE) of crystalline SrAl4Pd2Pt at its relaxed geometry.

Summary:
- Space-group type: R-3m, No. 166
- Fermi-level density of states: 2.9 states/eV/f.u.
- DFT formation energy: -0.7382 eV per atom

Unit cell a=4.2980 b=4.2980 c=9.9059 alpha=77.47 beta=77.47 gamma=60.00
Sites, in units of the cell vectors:
Pd (0.2329, 0.2329, 0.3013)
Pd (0.7671, 0.7671, 0.6987)
Al (0.8639, 0.8639, 0.4083)
Al (0.4097, 0.4097, 0.7708)
Al (0.1361, 0.1361, 0.5917)
Al (0.5903, 0.5903, 0.2292)
Pt (0.5000, 0.5000, 0.5000)
Sr (0.0000, 0.0000, 0.0000)

[8]
The following is a DFT calculation (GGA-PBE) of crystalline Sr2Al12PdPt3 at its relaxed geometry.

Summary:
- Space-group type: R-3m, No. 166
- Fermi-level density of states: 8.5 states/eV/f.u.
- DFT formation energy: -0.2546 eV per atom

Unit cell a=8.0781 b=8.0781 c=8.0781 alpha=69.48 beta=69.48 gamma=69.48
Sites, in units of the cell vectors:
Al (0.7647, 0.1076, 0.7647)
Al (0.8924, 0.2353, 0.2353)
Al (0.1303, 0.6474, 0.1303)
Al (0.6474, 0.1303, 0.1303)
Al (0.1303, 0.1303, 0.6474)
Al (0.2353, 0.8924, 0.2353)
Al (0.8697, 0.3526, 0.8697)
Al (0.2353, 0.2353, 0.8924)
Al (0.8697, 0.8697, 0.3526)
Al (0.1076, 0.7647, 0.7647)
Al (0.3526, 0.8697, 0.8697)
Al (0.7647, 0.7647, 0.1076)
Pt (0.0000, 0.0000, 0.5000)
Pt (0.0000, 0.5000, 0.0000)
Pt (0.5000, 0.0000, 0.0000)
Sr (0.6046, 0.6046, 0.6046)
Sr (0.3954, 0.3954, 0.3954)
Pd (0.0000, 0.0000, 0.0000)